Computed, not measured: crystalline SrTlTc2 at its relaxed geometry at the GGA-PBE level of DFT.

abc: 3.207 3.207 9.050
angles: 69.30 90.00 90.00
Positions (direct):
Sr (0.500, 0.723, 0.777)
Tc (0.000, 0.937, 0.064)
Tc (0.500, 0.297, 0.204)
Tl (0.000, 0.543, 0.456)

Output
ρ	9.305	g/cm3
space group	P4mm
relative energy among the computed polymorphs	4	meV per atom